[1]
A geometry-optimized LiNb2PbS4 structure, computed with PBE.

The total energy is -6.27 eV/atom.

The space group is P-3m1 (No. 164) and the conventional cell measures 3.3892, 3.3892 and 16.5520 Å, with angles of 90.00, 90.00 and 120.00 degrees. The distinct sites, in fractional coordinates, are Li at (0.0000, 0.0000, 0.0000), Nb at (0.3333, 0.6667, 0.7695), Pb at (0.0000, 0.0000, 0.5000), S at (0.0000, 0.0000, 0.1363) and S at (0.0000, 0.0000, 0.3235).

=====

[2]
A geometry-optimized RbCd4AsP2 structure, computed with PBE.

The total energy is -2.73 eV/atom.

The space group is R-3m (No. 166, hexagonal axes) and the conventional cell measures 4.4472, 4.4472 and 37.1407 Å, with angles of 90.00, 90.00 and 120.00 degrees. The distinct sites, in fractional coordinates, are Rb at (0.0000, 0.0000, 0.0000), Cd at (0.0000, 0.0000, 0.1988), Cd at (0.0000, 0.0000, 0.4109), As at (0.0000, 0.0000, 0.5000) and P at (0.0000, 0.0000, 0.2688).

=====

[3]
A geometry-optimized CdH2Pd2 structure, computed with PBE.

The total energy is -3.79 eV/atom.

The space group is I4/mmm (No. 139) and the conventional cell measures 3.341, 3.341 and 10.120 Å, with angles of 90.00, 90.00 and 90.00 degrees. The distinct sites, in fractional coordinates, are Cd at (0.000, 0.000, 0.000), H at (0.000, 0.500, 0.250) and Pd at (0.000, 0.000, 0.340).

=====

[4]
A geometry-optimized Dy15Fe8C26 structure, computed with PBE.

The total energy is -7.92 eV/atom.

The space group is P321 (No. 150) and the conventional cell measures 11.9043, 11.9043 and 5.1479 Å, with angles of 90.00, 90.00 and 120.00 degrees. The distinct sites, in fractional coordinates, are Dy at (0.0000, 0.8327, 0.0000), Dy at (0.1164, 0.4034, 0.2454), Dy at (0.1441, 0.6297, 0.7426), Fe at (0.0000, 0.1276, 0.5000), Fe at (0.0000, 0.7426, 0.5000), Fe at (0.3333, 0.6667, 0.2309), C at (0.0000, 0.0000, 0.2730), C at (0.0787, 0.6794, 0.2699), C at (0.1202, 0.2989, 0.6723), C at (0.1252, 0.4145, 0.7342) and C at (0.1674, 0.6404, 0.2408).

=====

[5]
A geometry-optimized GdHg structure, computed with PBE.

The value obtained for the energy relative to the elements is 0.321 eV/atom.

The space group is F-43m (No. 216) and the conventional cell measures 6.740, 6.740 and 6.740 Å, with angles of 90.00, 90.00 and 90.00 degrees. The distinct sites, in fractional coordinates, are Gd at (0.000, 0.000, 0.000) and Hg at (0.250, 0.250, 0.750).

=====

[6]
A geometry-optimized HoTaNb structure, computed with PBE.

The value obtained for the energy relative to the elements is 1.604 eV/atom.

The space group is F-43m (No. 216) and the conventional cell measures 6.598, 6.598 and 6.598 Å, with angles of 90.00, 90.00 and 90.00 degrees. The distinct sites, in fractional coordinates, are Ho at (0.000, 0.000, 0.000), Ta at (0.250, 0.250, 0.750) and Nb at (0.250, 0.250, 0.250).

=====

[7]
A geometry-optimized ZnSiO3 structure, computed with PBE.

The total energy is -6.52 eV/atom.

The space group is Pbca (No. 61) and the conventional cell measures 5.287, 18.202 and 9.081 Å, with angles of 90.00, 90.00 and 90.00 degrees. The distinct sites, in fractional coordinates, are Zn at (0.098, 0.125, 0.147), Zn at (0.102, 0.124, 0.494), Si at (0.084, 0.725, 0.663), Si at (0.215, 0.028, 0.834), O at (0.077, 0.553, 0.707), O at (0.081, 0.685, 0.167), O at (0.105, 0.690, 0.500), O at (0.162, 0.194, 0.748), O at (0.203, 0.567, 0.986) and O at (0.218, 0.562, 0.337).

=====

[8]
A geometry-optimized Nb4Co2PbSe12 structure, computed with PBE.

The total energy is -5.93 eV/atom.

The space group is C2/m (No. 12) and the conventional cell measures 13.606, 3.425 and 20.074 Å, with angles of 90.00, 104.09 and 90.00 degrees. The distinct sites, in fractional coordinates, are Nb at (0.134, 0.000, 0.168), Nb at (0.244, 0.000, 0.410), Co at (0.232, 0.500, 0.294), Pb at (0.000, 0.500, 0.000), Se at (0.015, 0.500, 0.855), Se at (0.108, 0.000, 0.297), Se at (0.127, 0.000, 0.611), Se at (0.133, 0.500, 0.460), Se at (0.187, 0.500, 0.756) and Se at (0.208, 0.500, 0.094).